Sr4Ga3Si | GGA-PBE | relaxed

Values from the calculation:
Density of states at the Fermi level (states/eV/f.u.): 6.8
Calculated volume (Å³/cell): 245.2
Final energy (eV per cell): -24.634

CIF file:
```
data_Sr4Ga3Si
_chemical_formula_sum 'Sr4 Ga3 Si1'
_cell_length_a 4.2883
_cell_length_b 4.7654
_cell_length_c 12.0005
_cell_angle_alpha 90.00
_cell_angle_beta 90.00
_cell_angle_gamma 90.00
_symmetry_space_group_name_H-M 'P m m 2'
_symmetry_Int_Tables_number 25
_symmetry_space_group_name_Hall 'P 2 -2'
loop_
_atom_site_label
_atom_site_fract_x
_atom_site_fract_y
_atom_site_fract_z
Sr1 0.0000 0.0000 0.0000
Sr2 0.0000 0.5000 0.4902
Sr3 0.5000 0.0000 0.7095
Sr4 0.5000 0.5000 0.2137
Ga1 0.0000 0.5000 0.7895
Ga2 0.5000 0.0000 0.4124
Ga3 0.5000 0.5000 0.9178
Si1 0.0000 0.0000 0.2882
```